This record from the Alexandria database describes a geometry-optimized Sm8Tl2Ge structure. The functional is PBE.

Summary:
**D(E_F)**: 12.5 states/eV/f.u.
**Crystal system**: monoclinic

The structure in POSCAR format:
```
Sm8Tl2Ge
1.0
9.659 -2.611 0.000
9.659 2.611 0.000
-1.729 0.000 6.670
Sm Tl Ge
8 2 1
Direct
0.014 0.014 0.273
0.211 0.211 0.816
0.347 0.347 0.512
0.410 0.410 0.041
0.590 0.590 0.959
0.653 0.653 0.488
0.789 0.789 0.184
0.986 0.986 0.727
0.179 0.179 0.251
0.821 0.821 0.749
0.500 0.500 0.500
```

This record from the Alexandria database describes a geometry-optimized Sm8TlGe5 structure. The functional is PBE.

Summary:
**D(E_F)**: 8.4 states/eV/f.u.
**Crystal system**: tetragonal

The structure in POSCAR format:
```
Sm8TlGe5
1.0
-4.568 4.568 4.559
4.568 -4.568 4.559
4.568 4.568 -4.559
Sm Tl Ge
8 1 5
Direct
0.133 0.753 0.757
0.137 0.243 0.760
0.247 0.004 0.380
0.483 0.376 0.240
0.623 0.867 0.620
0.624 0.863 0.107
0.757 0.517 0.893
0.996 0.377 0.243
0.750 0.250 0.500
0.000 0.000 0.000
0.251 0.629 0.124
0.371 0.495 0.622
0.505 0.127 0.876
0.873 0.749 0.378
```

This record from the Alexandria database describes a geometry-optimized SmTmTlGe structure. The functional is PBE.

Summary:
**D(E_F)**: 3.2 states/eV/f.u.
**Crystal system**: cubic

The structure in POSCAR format:
```
SmTmTlGe
1.0
7.412 0.000 0.000
0.000 7.412 0.000
0.000 0.000 7.412
Sm Tm Tl Ge
4 4 4 4
Direct
0.000 0.000 0.000
0.000 0.500 0.500
0.500 0.000 0.500
0.500 0.500 0.000
0.000 0.000 0.500
0.000 0.500 0.000
0.500 0.000 0.000
0.500 0.500 0.500
0.250 0.250 0.750
0.250 0.750 0.250
0.750 0.250 0.250
0.750 0.750 0.750
0.250 0.250 0.250
0.250 0.750 0.750
0.750 0.250 0.750
0.750 0.750 0.250
```

This record from the Alexandria database describes a geometry-optimized SmTm2Ge2 structure. The functional is PBE.

Summary:
**D(E_F)**: 3.9 states/eV/f.u.
**Crystal system**: monoclinic

The structure in POSCAR format:
```
SmTm2Ge2
1.0
5.653 0.000 0.000
0.000 4.512 0.000
-2.001 0.000 10.382
Sm Tm Ge
2 4 4
Direct
0.080 0.250 0.281
0.920 0.750 0.719
0.249 0.250 0.956
0.389 0.250 0.624
0.611 0.750 0.376
0.751 0.750 0.044
0.174 0.750 0.475
0.274 0.750 0.122
0.726 0.250 0.878
0.826 0.250 0.525
```

This record from the Alexandria database describes a geometry-optimized Sm2Tm3Ge4 structure. The functional is PBE.

Summary:
**D(E_F)**: 5.3 states/eV/f.u.
**Crystal system**: monoclinic

The structure in POSCAR format:
```
Sm2Tm3Ge4
1.0
7.882 0.000 0.000
0.000 7.781 0.000
-2.761 0.000 7.061
Sm Tm Ge
4 6 8
Direct
0.196 0.180 0.065
0.196 0.320 0.565
0.804 0.680 0.435
0.804 0.820 0.935
0.241 0.664 0.235
0.241 0.836 0.735
0.500 0.000 0.500
0.500 0.500 0.000
0.759 0.164 0.265
0.759 0.336 0.765
0.086 0.539 0.834
0.086 0.961 0.334
0.493 0.132 0.868
0.493 0.368 0.368
0.507 0.632 0.632
0.507 0.868 0.132
0.914 0.039 0.666
0.914 0.461 0.166
```

This record from the Alexandria database describes a geometry-optimized Sm4TmGe4 structure. The functional is PBE.

Summary:
**D(E_F)**: 9.1 states/eV/f.u.
**Crystal system**: tetragonal

The structure in POSCAR format:
```
Sm4TmGe4
1.0
9.020 0.000 0.000
0.000 9.020 0.000
0.000 0.000 6.020
Sm Tm Ge
8 2 8
Direct
0.055 0.670 0.121
0.170 0.945 0.621
0.330 0.555 0.621
0.445 0.830 0.121
0.555 0.170 0.879
0.670 0.445 0.379
0.830 0.055 0.379
0.945 0.330 0.879
0.250 0.250 0.250
0.750 0.750 0.750
0.014 0.629 0.613
0.129 0.986 0.113
0.371 0.514 0.113
0.486 0.871 0.613
0.514 0.129 0.387
0.629 0.486 0.887
0.871 0.014 0.887
0.986 0.371 0.387
```

This record from the Alexandria database describes a geometry-optimized Sm5Tm2Ge4 structure. The functional is PBE.

Summary:
**D(E_F)**: 12.2 states/eV/f.u.
**Crystal system**: monoclinic

The structure in POSCAR format:
```
Sm5Tm2Ge4
1.0
10.657 -1.902 0.000
10.657 1.902 0.000
-0.840 0.000 8.111
Sm Tm Ge
5 2 4
Direct
0.000 0.000 0.000
0.338 0.338 0.027
0.399 0.399 0.574
0.601 0.601 0.426
0.662 0.662 0.973
0.233 0.233 0.662
0.767 0.767 0.338
0.104 0.104 0.715
0.473 0.473 0.267
0.527 0.527 0.733
0.896 0.896 0.285
```

This record from the Alexandria database describes a geometry-optimized Sm2TmGe3 structure. The functional is PBE.

Summary:
**D(E_F)**: 4.5 states/eV/f.u.
**Crystal system**: orthorhombic

The structure in POSCAR format:
```
Sm2TmGe3
1.0
4.215 0.000 0.000
0.000 5.925 0.000
0.000 0.000 12.494
Sm Tm Ge
4 2 6
Direct
0.000 0.000 0.169
0.000 0.000 0.831
0.500 0.500 0.331
0.500 0.500 0.669
0.000 0.000 0.500
0.500 0.500 0.000
0.000 0.500 0.161
0.000 0.500 0.500
0.000 0.500 0.839
0.500 0.000 0.000
0.500 0.000 0.339
0.500 0.000 0.661
```

| no. | energy of formation (eV/atom) |
| --- | --- |
| 1 | -0.256 |
| 2 | -0.728 |
| 3 | -0.413 |
| 4 | -0.583 |
| 5 | -0.881 |
| 6 | -0.597 |
| 7 | -0.278 |
| 8 | -0.645 |